No. 1
# TaTe2N2 | the Alexandria database | GGA-PBE | relaxed
# total magnetization = 1.69 μB/f.u.
# relative energy among the computed polymorphs = 1420.0 meV/atom
# ΔE_f (raw) = 9.1 eV per formula unit
data_TaTe2N2
_space_group_name_H-M_alt 'P 1'
_space_group_IT_number 1
_cell_length_a 4.076
_cell_length_b 4.076
_cell_length_c 5.998
_cell_angle_alpha 90.00
_cell_angle_beta 90.00
_cell_angle_gamma 90.00
loop_
_space_group_symop_operation_xyz
'x,y,z'
loop_
_atom_site_label
_atom_site_type_symbol
_atom_site_fract_x
_atom_site_fract_y
_atom_site_fract_z
N1 N 0.000 0.500 0.000
N2 N 0.500 0.000 0.000
Te1 Te 0.000 0.000 0.000
Te2 Te 0.000 0.000 0.500
Ta1 Ta 0.500 0.500 0.500

=====

No. 2
# ZrHgNO2 | the Alexandria database | GGA-PBE | relaxed
# total magnetization = 1.06 μB/f.u.
# ΔE_f (raw) = -4.3 eV per formula unit
data_ZrHgNO2
_space_group_name_H-M_alt 'P 1'
_space_group_IT_number 1
_cell_length_a 4.130
_cell_length_b 4.491
_cell_length_c 4.130
_cell_angle_alpha 90.00
_cell_angle_beta 90.00
_cell_angle_gamma 90.00
loop_
_space_group_symop_operation_xyz
'x,y,z'
loop_
_atom_site_label
_atom_site_type_symbol
_atom_site_fract_x
_atom_site_fract_y
_atom_site_fract_z
O1 O 0.000 0.000 0.500
O2 O 0.500 0.000 0.000
Hg1 Hg 0.500 0.500 0.500
Zr1 Zr 0.000 0.000 0.000
N1 N 0.000 0.500 0.000

=====

No. 3
# ScAg2Pb | the Alexandria database | GGA-PBE | relaxed
# total magnetization = 0.00 μB/f.u.
# calculated formation energy = -0.145 eV/atom
data_ScAg2Pb
_space_group_name_H-M_alt 'P 1'
_space_group_IT_number 1
_cell_length_a 4.937
_cell_length_b 4.937
_cell_length_c 4.909
_cell_angle_alpha 120.27
_cell_angle_beta 120.26
_cell_angle_gamma 89.87
loop_
_space_group_symop_operation_xyz
'x,y,z'
loop_
_atom_site_label
_atom_site_type_symbol
_atom_site_fract_x
_atom_site_fract_y
_atom_site_fract_z
Pb1 Pb 0.500 0.500 0.000
Sc1 Sc 0.250 0.750 0.500
Ag1 Ag 0.000 0.000 0.000
Ag2 Ag 0.750 0.250 0.500

=====

No. 4
# TcSeCl2 | the Alexandria database | GGA-PBE | relaxed
# total magnetization = 0.94 μB/f.u.
# relative energy among the computed polymorphs = 0.0 meV/atom
# ΔE_f (raw) = -1.4 eV per formula unit
data_TcSeCl2
_space_group_name_H-M_alt 'P 1'
_space_group_IT_number 1
_cell_length_a 3.501
_cell_length_b 6.703
_cell_length_c 6.700
_cell_angle_alpha 41.28
_cell_angle_beta 90.00
_cell_angle_gamma 90.00
loop_
_space_group_symop_operation_xyz
'x,y,z'
loop_
_atom_site_label
_atom_site_type_symbol
_atom_site_fract_x
_atom_site_fract_y
_atom_site_fract_z
Tc1 Tc 0.500 0.735 0.735
Se1 Se 0.000 0.607 0.607
Cl1 Cl 0.000 0.881 0.881
Cl2 Cl 0.500 0.277 0.277

=====

No. 5
# PmGa3Ru | the Alexandria database | GGA-PBE | relaxed
# total magnetization = 0.00 μB/f.u.
# calculated formation energy = -0.565 eV/atom
# relative energy among the computed polymorphs = 0.0 meV/atom
data_PmGa3Ru
_space_group_name_H-M_alt 'P 1'
_space_group_IT_number 1
_cell_length_a 6.516
_cell_length_b 6.516
_cell_length_c 6.516
_cell_angle_alpha 90.00
_cell_angle_beta 90.00
_cell_angle_gamma 90.00
loop_
_space_group_symop_operation_xyz
'x,y,z'
loop_
_atom_site_label
_atom_site_type_symbol
_atom_site_fract_x
_atom_site_fract_y
_atom_site_fract_z
Pm1 Pm 0.000 0.500 0.500
Pm2 Pm 0.500 0.000 0.500
Pm3 Pm 0.500 0.500 0.000
Ga1 Ga 0.500 0.500 0.500
Ga2 Ga 0.207 0.207 0.207
Ga3 Ga 0.793 0.793 0.207
Ga4 Ga 0.793 0.207 0.793
Ga5 Ga 0.207 0.793 0.793
Ga6 Ga 0.207 0.207 0.793
Ga7 Ga 0.793 0.793 0.793
Ga8 Ga 0.207 0.793 0.207
Ga9 Ga 0.793 0.207 0.207
Ru1 Ru 0.500 0.000 0.000
Ru2 Ru 0.000 0.500 0.000
Ru3 Ru 0.000 0.000 0.500

=====

No. 6
# InMo | the Alexandria database | GGA-PBE | relaxed
# total magnetization = 0.00 μB/f.u.
# calculated formation energy = 0.401 eV/atom
# relative energy among the computed polymorphs = 186.3 meV/atom
data_InMo
_space_group_name_H-M_alt 'P 1'
_space_group_IT_number 1
_cell_length_a 4.657
_cell_length_b 3.069
_cell_length_c 6.021
_cell_angle_alpha 59.39
_cell_angle_beta 90.00
_cell_angle_gamma 90.00
loop_
_space_group_symop_operation_xyz
'x,y,z'
loop_
_atom_site_label
_atom_site_type_symbol
_atom_site_fract_x
_atom_site_fract_y
_atom_site_fract_z
In1 In 0.750 0.165 0.335
In2 In 0.250 0.835 0.665
Mo1 Mo 0.750 0.135 0.865
Mo2 Mo 0.250 0.865 0.135

=====

No. 7
# Ti3InS6 | the Alexandria database | GGA-PBE | relaxed
# total magnetization = 0.00 μB/f.u.
# ΔE_f (raw) = -11.3 eV per formula unit
data_Ti3InS6
_space_group_name_H-M_alt 'P 1'
_space_group_IT_number 1
_cell_length_a 3.412
_cell_length_b 11.028
_cell_length_c 10.949
_cell_angle_alpha 106.92
_cell_angle_beta 90.00
_cell_angle_gamma 90.00
loop_
_space_group_symop_operation_xyz
'x,y,z'
loop_
_atom_site_label
_atom_site_type_symbol
_atom_site_fract_x
_atom_site_fract_y
_atom_site_fract_z
Ti1 Ti 0.750 0.349 0.471
Ti2 Ti 0.250 0.651 0.529
Ti3 Ti 0.750 0.732 0.299
Ti4 Ti 0.250 0.268 0.701
Ti5 Ti 0.750 0.966 0.852
Ti6 Ti 0.250 0.034 0.148
In1 In 0.750 0.622 0.891
In2 In 0.250 0.378 0.109
S1 S 0.750 0.169 0.547
S2 S 0.250 0.831 0.453
S3 S 0.750 0.136 0.050
S4 S 0.250 0.864 0.950
S5 S 0.750 0.751 0.681
S6 S 0.250 0.249 0.319
S7 S 0.750 0.538 0.372
S8 S 0.250 0.462 0.628
S9 S 0.750 0.353 0.858
S10 S 0.250 0.647 0.142
S11 S 0.750 0.938 0.240
S12 S 0.250 0.062 0.760

=====

No. 8
# VSnIN2 | the Alexandria database | GGA-PBE | relaxed
# total magnetization = 0.60 μB/f.u.
# relative energy among the computed polymorphs = 990.7 meV/atom
# ΔE_f (raw) = 8.6 eV per formula unit
data_VSnIN2
_space_group_name_H-M_alt 'P 1'
_space_group_IT_number 1
_cell_length_a 4.074
_cell_length_b 4.074
_cell_length_c 6.303
_cell_angle_alpha 90.00
_cell_angle_beta 90.00
_cell_angle_gamma 90.00
loop_
_space_group_symop_operation_xyz
'x,y,z'
loop_
_atom_site_label
_atom_site_type_symbol
_atom_site_fract_x
_atom_site_fract_y
_atom_site_fract_z
I1 I 0.000 0.000 0.500
N1 N 0.000 0.500 0.000
N2 N 0.500 0.000 0.000
Sn1 Sn 0.000 0.000 0.000
V1 V 0.500 0.500 0.500

=====

Values of volume, in order: 19.933, 15.320, 21.005, 25.934, 18.444, 18.515, 19.706, 20.924, all in Å³/atom.